No. 1
La3NiSn2: relaxed, PBE.

a b c (Å): 12.7088 4.5923 12.2207
angles (deg): 90.00 90.00 90.00
Last column: nearest neighbours and their distance in Å.
Space group Pnma (No. 62)
Symmetry-distinct sites (fractional):
1 La 0.0568 0.2500 0.1248 x4  1 Ni 3.03, 4 Sn 3.25-3.33
2 La 0.1170 0.7500 0.5513 x4  3 Ni 3.23-3.25, 5 Sn 3.26-3.35
3 La 0.2298 0.2500 0.7982 x4  2 Ni 3.06, 4 Sn 3.26-3.35
4 Ni 0.1236 0.2500 0.3631 x4  3 Sn 2.77, 3 La 3.03-3.06
5 Sn 0.0136 0.7500 0.3074 x4  2 Ni 2.77
6 Sn 0.1987 0.7500 0.9946 x4  1 Ni 2.77

Summary:
Total DFT energy (no corrections) (eV/atom): -5.441
Size of the total moment (μB per formula unit): 0.63
ΔE_f (eV per formula unit): -4.08



No. 2
La6Ni2Sn: relaxed, PBE.

a b c (Å): 9.4691 10.5912 10.7088
angles (deg): 90.00 90.00 90.00
Last column: nearest neighbours and their distance in Å.
Space group Immm (No. 71)
Symmetry-distinct sites (fractional):
1 La 0.0000 0.2049 0.2214 x8  1 Ni 2.92, 1 Sn 3.21
2 La 0.1912 0.5000 0.1762 x8  3 Ni 2.83-2.97
3 La 0.2044 0.3182 0.5000 x8  2 Ni 3.02
4 Ni 0.0000 0.3666 0.0000 x4  1 Ni 2.83, 6 La 2.92-2.97
5 Ni 0.0000 0.5000 0.3797 x4  1 Ni 2.58, 2 La 2.83
6 Sn 0.0000 0.0000 0.0000 x2  8 La 3.21-3.40
7 Sn 0.0000 0.0000 0.5000 x2  12 La 3.48-3.89

Summary:
Total DFT energy (no corrections) (eV/atom): -5.352
Size of the total moment (μB per formula unit): 0.00
ΔE_f (eV per formula unit): -3.03



No. 3
La3Ni2Sn3: relaxed, PBE.

a b c (Å): 4.6031 11.2614 15.6231
angles (deg): 90.00 90.00 90.00
Last column: nearest neighbours and their distance in Å.
Space group Cmcm (No. 63)
Symmetry-distinct sites (fractional):
1 La 0.0000 0.0838 0.1090 x8  4 Ni 3.23-3.57, 7 Sn 3.29-3.54
2 La 0.0000 0.3683 0.2500 x4  5 Sn 3.22-3.38, 4 Ni 3.35
3 Ni 0.0000 0.2027 0.6030 x8  4 Sn 2.64-2.86
4 Sn 0.0000 0.3315 0.7500 x4  2 Ni 2.72
5 Sn 0.0000 0.3667 0.0368 x8  3 Ni 2.64-2.86

Summary:
Total DFT energy (no corrections) (eV/atom): -5.460
Size of the total moment (μB per formula unit): 0.00
ΔE_f (eV per formula unit): -5.33



No. 4
LaNi5Sn: relaxed, PBE.

a b c (Å): 4.9503 4.9503 19.9076
angles (deg): 90.00 90.00 120.00
Last column: nearest neighbours and their distance in Å.
Space group P6_3/mmc (No. 194)
Symmetry-distinct sites (fractional):
1 La 0.0000 0.0000 0.0000 x2  12 Ni 2.99-3.24, 6 Sn 3.34
2 La 0.3333 0.6667 0.2500 x2  6 Ni 2.86
3 Ni 0.0000 0.0000 0.2500 x2  6 Ni 2.51
4 Ni 0.1661 0.3321 0.6462 x12  7 Ni 2.47-2.52, 2 Sn 2.74
5 Ni 0.3333 0.6667 0.5444 x4  3 Ni 2.48, 1 Sn 2.62
6 Ni 0.3333 0.6667 0.7500 x2  6 Ni 2.52
7 Sn 0.3333 0.6667 0.0873 x4  7 Ni 2.62-2.74

Summary:
Total DFT energy (no corrections) (eV/atom): -5.744
Size of the total moment (μB per formula unit): 0.00
ΔE_f (eV per formula unit): -2.37



No. 5
LaNi2Sn2: relaxed, PBE.

a b c (Å): 4.4946 4.4946 10.2442
angles (deg): 90.00 90.00 90.00
Last column: nearest neighbours and their distance in Å.
Space group P4/nmm (No. 129, origin choice 2)
Symmetry-distinct sites (fractional):
1 La 0.2500 0.2500 0.2394 x2  8 Ni 3.33-3.45, 9 Sn 3.39-3.72
2 Ni 0.2500 0.2500 0.6284 x2  5 Sn 2.54-2.60
3 Ni 0.2500 0.7500 0.0000 x2  4 Sn 2.58
4 Sn 0.2500 0.2500 0.8760 x2  5 Ni 2.54-2.58
5 Sn 0.2500 0.7500 0.5000 x2  4 Ni 2.60

Summary:
Total DFT energy (no corrections) (eV/atom): -5.469
Size of the total moment (μB per formula unit): 0.00
ΔE_f (eV per formula unit): -2.85



No. 6
LaNi3Sn3: relaxed, PBE.

a b c (Å): 8.3888 8.3888 14.5697
angles (deg): 90.00 90.00 120.00
Last column: nearest neighbours and their distance in Å.
Space group R-3 (No. 148, hexagonal axes)
Symmetry-distinct sites (fractional):
1 La 0.0000 0.0000 0.1645 x6  6 Ni 2.93-3.24
2 Ni 0.0284 0.2979 0.4600 x18  4 Sn 2.56-2.67, 2 Ni 2.66
3 Sn 0.0341 0.2557 0.6342 x18  4 Ni 2.56-2.67

Summary:
Total DFT energy (no corrections) (eV/atom): -5.167
Size of the total moment (μB per formula unit): 0.00
ΔE_f (eV per formula unit): -1.89



No. 7
La3Ni4Sn4: relaxed, PBE.

a b c (Å): 4.3579 4.5444 25.5573
angles (deg): 90.00 90.00 90.00
Last column: nearest neighbours and their distance in Å.
Space group Immm (No. 71)
Symmetry-distinct sites (fractional):
1 La 0.0000 0.0000 0.0000 x2  4 Ni 3.34, 8 Sn 3.46
2 La 0.0000 0.5000 0.1546 x4  8 Ni 3.25-3.45, 6 Sn 3.33-3.35
3 Ni 0.0000 0.0000 0.2513 x4  4 Sn 2.55-2.60
4 Ni 0.0000 0.5000 0.4008 x4  3 Sn 2.52-2.56
5 Sn 0.0000 0.0000 0.4438 x4  2 Ni 2.52
6 Sn 0.0000 0.5000 0.3007 x4  5 Ni 2.55-2.60

Summary:
Total DFT energy (no corrections) (eV/atom): -5.470
Size of the total moment (μB per formula unit): 0.00
ΔE_f (eV per formula unit): -6.25



No. 8
La2Ni4Sn3: relaxed, PBE.

a b c (Å): 6.2953 16.2550 6.8933
angles (deg): 90.00 90.00 90.00
Last column: nearest neighbours and their distance in Å.
Space group Cmce (No. 64)
Symmetry-distinct sites (fractional):
1 La 0.0000 0.1034 0.0700 x8  2 Ni 2.74
2 Ni 0.0000 0.1650 0.4957 x8  5 Sn 2.65-2.78, 2 Ni 2.76
3 Ni 0.2500 0.0767 0.7500 x8  3 Sn 2.65, 2 La 2.74, 2 Ni 2.76
4 Sn 0.0000 0.0000 0.5000 x4  6 Ni 2.65-2.68
5 Sn 0.2500 0.2399 0.7500 x8  5 Ni 2.65-2.78

Summary:
Total DFT energy (no corrections) (eV/atom): -5.477
Size of the total moment (μB per formula unit): 0.00
ΔE_f (eV per formula unit): -4.31



No. 9
La2NiSn: relaxed, PBE.

a b c (Å): 4.0065 4.0065 25.3224
angles (deg): 90.00 90.00 120.00
Last column: nearest neighbours and their distance in Å.
Space group R-3m (No. 166, hexagonal axes)
Symmetry-distinct sites (fractional):
1 La 0.0000 0.0000 0.2349 x6  3 Ni 2.89
2 Ni 0.0000 0.0000 0.5000 x3  6 La 2.89
3 Sn 0.0000 0.0000 0.0000 x3  6 La 3.40

Summary:
Total DFT energy (no corrections) (eV/atom): -5.263
Size of the total moment (μB per formula unit): 0.00
ΔE_f (eV per formula unit): -1.41



No. 10
La2NiSn: relaxed, PBE.

a b c (Å): 8.3187 8.3187 6.2763
angles (deg): 90.00 90.00 90.00
Last column: nearest neighbours and their distance in Å.
Space group I-42d (No. 122)
Symmetry-distinct sites (fractional):
1 La 0.1876 0.2500 0.1250 x8  2 Ni 2.72
2 Ni 0.0000 0.0000 0.0000 x4  4 La 2.72
3 Sn 0.0000 0.0000 0.5000 x4  2 Ni 3.14, 8 La 3.42-3.51

Summary:
Total DFT energy (no corrections) (eV/atom): -5.209
Size of the total moment (μB per formula unit): 0.00
ΔE_f (eV per formula unit): -1.20



No. 11
LaNi6Sn2: relaxed, PBE.

a b c (Å): 4.1826 6.5377 11.2068
angles (deg): 90.00 90.00 90.00
Last column: nearest neighbours and their distance in Å.
Space group Immm (No. 71)
Symmetry-distinct sites (fractional):
1 La 0.0000 0.0000 0.0000 x2  4 Ni 2.94
2 Ni 0.0000 0.1832 0.5000 x4  3 Ni 2.37-2.40
3 Ni 0.0000 0.1956 0.2886 x8  4 Ni 2.37-2.56, 3 Sn 2.58-2.61
4 Sn 0.0000 0.5000 0.1382 x4  10 Ni 2.58-2.86

Summary:
Total DFT energy (no corrections) (eV/atom): -5.369
Size of the total moment (μB per formula unit): 0.00
ΔE_f (eV per formula unit): -0.70



No. 12
La3Ni3Sn: relaxed, PBE.

a b c (Å): 9.7960 9.7960 4.1497
angles (deg): 90.00 90.00 120.00
Last column: nearest neighbours and their distance in Å.
Space group P6_3/m (No. 176)
Symmetry-distinct sites (fractional):
1 La 0.0597 0.6873 0.2500 x6  4 Ni 2.86-3.01
2 Ni 0.0186 0.8648 0.7500 x6  6 Ni 2.47-2.52
3 Sn 0.3333 0.6667 0.7500 x2  9 La 3.47-3.67

Summary:
Total DFT energy (no corrections) (eV/atom): -5.619
Size of the total moment (μB per formula unit): 0.00
ΔE_f (eV per formula unit): -3.20